Entry 1:
NdTe2BrO5: relaxed, GGA-PBEsol.

- raw formation energy (meV per atom) = -1741

Unit cell a=9.991 b=9.991 c=9.991 alpha=148.78 beta=148.78 gamma=44.73
Fractional coordinates of all 18 atoms:
Nd 0.250 0.750 0.500
Nd 0.750 0.250 0.500
Te 0.104 0.104 0.000
Te 0.374 0.374 0.000
Te 0.626 0.626 0.000
Te 0.896 0.896 0.000
Br 0.000 0.500 0.500
Br 0.500 0.000 0.500
O 0.077 0.077 0.467
O 0.077 0.610 0.000
O 0.269 0.269 0.000
O 0.390 0.390 0.467
O 0.390 0.923 0.000
O 0.610 0.077 0.000
O 0.610 0.610 0.533
O 0.731 0.731 0.000
O 0.923 0.390 0.000
O 0.923 0.923 0.533


Entry 2:
MnB2P3H10N2ClO13: relaxed, GGA-PBEsol.

- total DFT energy (no corrections) (eV per atom) = -6.611

Unit cell a=8.957 b=8.441 c=18.461 alpha=90.00 beta=117.00 gamma=90.00
Fractional coordinates of all 128 atoms:
Mn 0.032 0.179 0.133
Mn 0.032 0.321 0.633
Mn 0.968 0.679 0.367
Mn 0.968 0.821 0.867
B 0.330 0.547 0.671
B 0.330 0.953 0.171
B 0.441 0.177 0.562
B 0.441 0.323 0.062
B 0.559 0.677 0.938
B 0.559 0.823 0.438
B 0.670 0.047 0.829
B 0.670 0.453 0.329
P 0.214 0.071 0.017
P 0.214 0.429 0.517
P 0.271 0.536 0.935
P 0.271 0.964 0.435
P 0.439 0.236 0.709
P 0.439 0.264 0.209
P 0.561 0.736 0.791
P 0.561 0.764 0.291
P 0.729 0.036 0.565
P 0.729 0.464 0.065
P 0.786 0.571 0.483
P 0.786 0.929 0.983
H 0.058 0.697 0.048
H 0.058 0.803 0.548
H 0.061 0.530 0.102
H 0.061 0.970 0.602
H 0.152 0.608 0.709
H 0.152 0.892 0.209
H 0.155 0.118 0.326
H 0.155 0.382 0.826
H 0.198 0.547 0.062
H 0.198 0.953 0.562
H 0.225 0.662 0.141
H 0.225 0.838 0.641
H 0.253 0.046 0.882
H 0.253 0.454 0.382
H 0.290 0.096 0.800
H 0.290 0.404 0.300
H 0.381 0.197 0.887
H 0.381 0.303 0.387
H 0.441 0.009 0.884
H 0.441 0.491 0.384
H 0.559 0.509 0.616
H 0.559 0.991 0.116
H 0.619 0.697 0.613
H 0.619 0.803 0.113
H 0.710 0.596 0.700
H 0.710 0.904 0.200
H 0.747 0.546 0.618
H 0.747 0.954 0.118
H 0.775 0.162 0.359
H 0.775 0.338 0.859
H 0.802 0.047 0.438
H 0.802 0.453 0.938
H 0.845 0.618 0.174
H 0.845 0.882 0.674
H 0.848 0.108 0.791
H 0.848 0.392 0.291
H 0.939 0.030 0.398
H 0.939 0.470 0.898
H 0.942 0.197 0.452
H 0.942 0.303 0.952
N 0.135 0.610 0.088
N 0.135 0.890 0.588
N 0.341 0.086 0.863
N 0.341 0.414 0.363
N 0.659 0.586 0.637
N 0.659 0.914 0.137
N 0.865 0.110 0.412
N 0.865 0.390 0.912
Cl 0.051 0.694 0.251
Cl 0.051 0.806 0.751
Cl 0.949 0.194 0.249
Cl 0.949 0.306 0.749
O 0.094 0.181 0.030
O 0.094 0.319 0.530
O 0.102 0.611 0.911
O 0.102 0.889 0.411
O 0.151 0.505 0.434
O 0.151 0.995 0.934
O 0.193 0.517 0.689
O 0.193 0.983 0.189
O 0.270 0.186 0.701
O 0.270 0.314 0.201
O 0.272 0.086 0.372
O 0.272 0.414 0.872
O 0.275 0.566 0.582
O 0.275 0.934 0.082
O 0.314 0.054 0.517
O 0.314 0.446 0.017
O 0.380 0.164 0.032
O 0.380 0.336 0.532
O 0.410 0.659 0.952
O 0.410 0.841 0.452
O 0.414 0.699 0.705
O 0.414 0.801 0.205
O 0.456 0.082 0.202
O 0.456 0.418 0.702
O 0.487 0.154 0.648
O 0.487 0.346 0.148
O 0.513 0.654 0.852
O 0.513 0.846 0.352
O 0.544 0.582 0.298
O 0.544 0.918 0.798
O 0.586 0.199 0.795
O 0.586 0.301 0.295
O 0.590 0.159 0.548
O 0.590 0.341 0.048
O 0.620 0.664 0.468
O 0.620 0.836 0.968
O 0.686 0.554 0.983
O 0.686 0.946 0.483
O 0.725 0.066 0.918
O 0.725 0.434 0.418
O 0.728 0.586 0.128
O 0.728 0.914 0.628
O 0.730 0.686 0.799
O 0.730 0.814 0.299
O 0.807 0.017 0.811
O 0.807 0.483 0.311
O 0.849 0.005 0.066
O 0.849 0.495 0.566
O 0.898 0.111 0.589
O 0.898 0.389 0.089
O 0.906 0.681 0.470
O 0.906 0.819 0.970


Entry 3:
GdSi3Ir: relaxed, GGA-PBEsol.

- raw formation energy (meV per atom) = -879

Unit cell a=4.164 b=4.164 c=9.758 alpha=90.00 beta=90.00 gamma=90.00
Fractional coordinates of all 10 atoms:
Gd 0.000 0.000 0.000
Gd 0.500 0.500 0.500
Si 0.000 0.000 0.417
Si 0.000 0.500 0.267
Si 0.000 0.500 0.767
Si 0.500 0.000 0.267
Si 0.500 0.000 0.767
Si 0.500 0.500 0.917
Ir 0.000 0.000 0.655
Ir 0.500 0.500 0.155


Entry 4:
KMo2RhF: relaxed, GGA-PBEsol.

- raw formation energy (meV per atom) = 2242

Unit cell a=4.680 b=4.680 c=4.060 alpha=90.00 beta=90.00 gamma=90.00
Fractional coordinates of all 5 atoms:
K 0.000 0.000 0.000
Mo 0.000 0.500 0.000
Mo 0.500 0.000 0.000
Rh 0.500 0.500 0.500
F 0.000 0.000 0.500


Entry 5:
CaCuSe2: relaxed, GGA-PBEsol.

- raw formation energy (meV per atom) = -659

Unit cell a=4.170 b=4.170 c=22.869 alpha=90.00 beta=90.00 gamma=120.00
Fractional coordinates of all 12 atoms:
Ca 0.000 0.000 0.000
Ca 0.333 0.667 0.667
Ca 0.667 0.333 0.333
Cu 0.000 0.000 0.500
Cu 0.333 0.667 0.167
Cu 0.667 0.333 0.833
Se 0.000 0.000 0.404
Se 0.000 0.000 0.596
Se 0.333 0.667 0.071
Se 0.333 0.667 0.263
Se 0.667 0.333 0.737
Se 0.667 0.333 0.929


Entry 6:
Mn2AlCr: relaxed, GGA-PBEsol.

- total DFT energy (no corrections) (eV per atom) = -8.585

Unit cell a=2.843 b=3.954 c=7.952 alpha=90.00 beta=90.00 gamma=90.00
Fractional coordinates of all 8 atoms:
Mn 0.000 0.000 0.000
Mn 0.000 0.500 0.257
Mn 0.500 0.000 0.757
Mn 0.500 0.500 0.500
Al 0.000 0.500 0.760
Al 0.500 0.000 0.260
Cr 0.000 0.000 0.524
Cr 0.500 0.500 0.024


Number 1: calculated volume 267.1 Å³/cell. Number 2: calculated volume 1243.6 Å³/cell. Number 3: calculated volume 169.2 Å³/cell. Number 4: calculated volume 88.9 Å³/cell. Number 5: calculated volume 344.4 Å³/cell. Number 6: calculated volume 89.4 Å³/cell.